SbTeAuO | PBE-GGA | optimized geometry

```
16
Lattice="7.187 0.000 0.000 0.000 6.980 0.000 -0.106 0.000 7.295" Properties=species:S:1:pos:R:3 pbc="T T T"
Sb 0.582 0.121 1.425
Sb 0.529 3.369 5.072
Sb 6.552 3.611 2.223
Sb 6.498 6.860 5.870
Te 2.296 3.508 1.409
Te 2.243 6.962 5.056
Te 4.838 0.018 2.239
Te 4.785 3.472 5.886
Au 2.989 1.250 0.126
Au 2.936 2.240 3.774
Au 4.145 4.740 3.521
Au 4.091 5.730 7.168
O 0.227 4.798 3.648
O 0.280 5.673 0.001
O 6.801 1.308 7.294
O 6.854 2.182 3.646
```

=====

SbTeAuO | PBE-GGA | optimized geometry

```
8
Lattice="4.016 0.000 0.000 0.000 4.016 0.000 0.000 0.000 9.834" Properties=species:S:1:pos:R:3 pbc="T T T"
Sb 1.004 1.004 1.168
Sb 3.012 3.012 8.666
Te 1.004 1.004 7.027
Te 3.012 3.012 2.807
Au 1.004 3.012 4.917
Au 3.012 1.004 4.917
O 1.004 3.012 0.000
O 3.012 1.004 0.000
```

=====

ScAuSeO | PBE-GGA | optimized geometry

```
8
Lattice="3.791 0.000 0.000 0.000 3.791 0.000 0.000 0.000 9.399" Properties=species:S:1:pos:R:3 pbc="T T T"
Sc 0.948 0.948 0.978
Sc 2.843 2.843 8.421
Au 0.948 2.843 4.699
Au 2.843 0.948 4.699
Se 0.948 0.948 6.843
Se 2.843 2.843 2.556
O 0.948 2.843 0.000
O 2.843 0.948 0.000
```

=====

ScAuSeO | PBE-GGA | optimized geometry

```
16
Lattice="9.535 0.000 0.000 0.000 5.400 0.000 0.000 0.000 5.406" Properties=species:S:1:pos:R:3 pbc="T T T"
Sc 0.958 1.350 0.000
Sc 0.958 4.050 2.703
Sc 8.577 1.350 2.703
Sc 8.577 4.050 0.000
Au 4.767 0.000 0.006
Au 4.767 0.000 2.709
Au 4.767 2.700 0.006
Au 4.767 2.700 2.709
Se 2.573 1.350 2.710
Se 2.573 4.050 0.007
Se 6.962 1.350 0.007
Se 6.962 4.050 2.710
O 0.000 0.000 1.352
O 0.000 0.000 4.055
O 0.000 2.700 1.352
O 0.000 2.700 4.055
```

=====

ScAuSeO | PBE-GGA | optimized geometry

```
8
Lattice="4.165 0.000 0.000 0.000 6.922 0.000 0.000 0.000 5.896" Properties=species:S:1:pos:R:3 pbc="T T T"
Sc 0.000 1.056 0.000
Sc 0.000 5.865 2.948
Au 2.083 2.060 3.666
Au 2.083 4.861 0.718
Se 2.083 2.322 1.036
Se 2.083 4.599 3.984
O 0.000 0.550 4.027
O 0.000 6.371 1.079
```

=====

ScAuSeO | PBE-GGA | optimized geometry

```
16
Lattice="5.496 0.000 0.000 0.000 5.485 0.000 -0.308 0.000 10.653" Properties=species:S:1:pos:R:3 pbc="T T T"
Sc -0.010 0.000 0.895
Sc 2.438 0.019 9.738
Sc 2.750 2.762 0.915
Sc 5.199 2.743 9.758
Au -0.216 0.116 7.830
Au 1.637 1.509 5.365
Au 3.552 4.251 5.288
Au 5.405 2.859 2.824
Se 1.621 1.177 2.947
Se 1.511 1.795 7.791
Se 3.678 4.538 2.862
Se 3.568 3.920 7.706
O 1.364 1.372 0.031
O 1.080 4.119 10.648
O 4.108 1.376 0.006
O 3.824 4.115 10.622
```

=====

ScAuSeO | PBE-GGA | optimized geometry

```
16
Lattice="7.343 0.000 0.000 0.000 7.118 0.000 -1.615 0.000 6.021" Properties=species:S:1:pos:R:3 pbc="T T T"
Sc -0.067 0.842 1.283
Sc -0.875 2.717 4.294
Sc 6.603 4.401 1.727
Sc 5.796 6.276 4.738
Au 3.088 1.606 1.584
Au 2.280 1.953 4.595
Au 3.448 5.165 1.426
Au 2.641 5.512 4.437
Se 0.950 0.070 3.806
Se 1.758 3.489 0.795
Se 3.971 3.629 5.226
Se 4.778 7.047 2.215
O -0.793 4.683 3.704
O 0.015 5.994 0.693
O 5.714 1.124 5.328
O 6.521 2.435 2.317
```

=====

ScTeAuO | PBE-GGA | optimized geometry

```
8
Lattice="3.870 0.000 0.000 0.000 3.870 0.000 0.000 0.000 9.969" Properties=species:S:1:pos:R:3 pbc="T T T"
Sc 0.967 0.967 0.942
Sc 2.902 2.902 9.026
Te 0.967 0.967 7.237
Te 2.902 2.902 2.732
Au 0.967 2.902 4.984
Au 2.902 0.967 4.984
O 0.967 2.902 0.000
O 2.902 0.967 0.000
```

=====

ScTeAuO | PBE-GGA | optimized geometry

```
16
Lattice="5.717 0.000 0.000 0.000 5.707 0.000 -0.461 0.000 11.156" Properties=species:S:1:pos:R:3 pbc="T T T"
Sc -0.018 0.000 0.792
Sc 2.392 0.033 10.325
Sc 2.864 2.887 0.832
Sc 5.274 2.854 10.364
Te 1.660 1.249 3.103
Te 1.471 1.919 8.249
Te 3.785 4.773 2.908
Te 3.596 4.103 8.053
Au -0.336 0.147 8.453
Au 1.646 1.616 5.668
Au 3.610 4.469 5.489
Au 5.592 3.000 2.704
O 1.432 1.424 0.075
O 0.979 4.286 11.149
O 4.277 1.432 0.008
O 3.824 4.277 11.081
```

=====

ScTeAuO | PBE-GGA | optimized geometry

```
8
Lattice="3.870 0.000 0.000 0.000 3.870 0.000 0.000 0.000 9.981" Properties=species:S:1:pos:R:3 pbc="T T T"
Sc 0.000 0.000 0.000
Sc 1.935 1.935 1.888
Te 0.000 0.000 3.684
Te 1.935 1.935 8.191
Au 0.000 1.935 5.940
Au 1.935 0.000 5.940
O 0.000 1.935 0.944
O 1.935 0.000 0.944
```

=====

ScTeAuO | PBE-GGA | optimized geometry

```
16
Lattice="10.200 0.000 0.000 0.000 5.485 0.000 0.000 0.000 5.485" Properties=species:S:1:pos:R:3 pbc="T T T"
Sc 0.940 1.371 0.000
Sc 0.940 4.114 2.743
Sc 9.261 1.371 2.743
Sc 9.261 4.114 0.000
Te 2.737 1.371 2.748
Te 2.737 4.114 0.006
Te 7.464 1.371 0.006
Te 7.464 4.114 2.748
Au 5.100 0.000 0.005
Au 5.100 0.000 2.748
Au 5.100 2.742 0.005
Au 5.100 2.742 2.748
O 0.000 0.000 1.371
O 0.000 0.000 4.114
O 0.000 2.742 1.371
O 0.000 2.742 4.114
```

=====

ScTeAuO | PBE-GGA | optimized geometry

```
16
Lattice="8.659 0.000 0.000 0.000 6.380 0.000 -1.787 0.000 6.353" Properties=species:S:1:pos:R:3 pbc="T T T"
Sc 0.071 0.963 2.412
Sc -0.822 2.227 5.589
Sc 7.694 4.153 0.764
Sc 6.801 5.417 3.940
Te 1.494 3.404 4.042
Te 2.387 6.165 0.865
Te 4.485 0.214 5.488
Te 5.379 2.976 2.311
Au 2.779 1.190 3.266
Au 3.672 2.000 0.089
Au 3.200 4.380 6.263
Au 4.093 5.190 3.087
O -1.021 0.876 4.153
O -0.127 2.313 0.976
O 7.000 4.066 5.376
O 7.893 5.503 2.200
```

=====

no.,energy relative to the lowest polymorph listed for this composition (eV/f.u.)
1,0.00
2,0.03
3,0.57
4,0.29
5,1.54
6,0.00
7,0.27
8,0.30
9,0.19
10,0.30
11,0.16
12,0.00